# 1
Ho3Si3Pd2 | GGA-PBE | optimized geometry

a = 5.685 Å, b = 7.872 Å, c = 14.166 Å
α = 90.00°, β = 90.00°, γ = 90.00°
Positions (direct):
Ho1 0.133 0.461 0.390
Ho2 0.633 0.039 0.610
Ho3 0.867 0.539 0.890
Ho4 0.367 0.961 0.110
Ho5 0.867 0.539 0.610
Ho6 0.367 0.961 0.390
Ho7 0.133 0.461 0.110
Ho8 0.633 0.039 0.890
Ho9 0.619 0.313 0.250
Ho10 0.119 0.187 0.750
Ho11 0.381 0.687 0.750
Ho12 0.881 0.813 0.250
Si1 0.107 0.175 0.250
Si2 0.607 0.325 0.750
Si3 0.893 0.825 0.750
Si4 0.393 0.675 0.250
Si5 0.604 0.301 0.459
Si6 0.104 0.199 0.541
Si7 0.396 0.699 0.959
Si8 0.896 0.801 0.041
Si9 0.396 0.699 0.541
Si10 0.896 0.801 0.459
Si11 0.604 0.301 0.041
Si12 0.104 0.199 0.959
Pd1 0.877 0.092 0.399
Pd2 0.377 0.408 0.601
Pd3 0.123 0.908 0.899
Pd4 0.623 0.592 0.101
Pd5 0.123 0.908 0.601
Pd6 0.623 0.592 0.399
Pd7 0.877 0.092 0.101
Pd8 0.377 0.408 0.899

Formation energy without anion corrections = -7.11 eV per formula unit
V = 19.81 Å³/atom
Polymorph energy (0 for the lowest one) = 70 meV per atom
DOS(E_F) = 0.429 states/eV per atom

# 2
TiNi2P | GGA-PBE | optimized geometry

a = 4.688 Å, b = 6.337 Å, c = 13.192 Å
α = 90.00°, β = 90.00°, γ = 90.00°
Positions (direct):
Ti1 0.474 0.250 0.139
Ti2 0.974 0.750 0.361
Ti3 0.526 0.750 0.861
Ti4 0.026 0.250 0.639
Ti5 0.752 0.250 0.396
Ti6 0.252 0.750 0.104
Ti7 0.248 0.750 0.604
Ti8 0.748 0.250 0.896
Ni1 0.965 0.051 0.214
Ni2 0.465 0.949 0.286
Ni3 0.035 0.551 0.786
Ni4 0.535 0.449 0.714
Ni5 0.035 0.949 0.786
Ni6 0.535 0.051 0.714
Ni7 0.965 0.449 0.214
Ni8 0.465 0.551 0.286
Ni9 0.738 0.553 0.036
Ni10 0.238 0.447 0.464
Ni11 0.262 0.053 0.964
Ni12 0.762 0.947 0.536
Ni13 0.262 0.447 0.964
Ni14 0.762 0.553 0.536
Ni15 0.738 0.947 0.036
Ni16 0.238 0.053 0.464
P1 0.236 0.250 0.318
P2 0.736 0.750 0.182
P3 0.764 0.750 0.682
P4 0.264 0.250 0.818
P5 0.983 0.250 0.070
P6 0.483 0.750 0.430
P7 0.017 0.750 0.930
P8 0.517 0.250 0.570

Uncorrected energy = -7.000 eV per atom
V = 12.25 Å³/atom
DOS(E_F) = 0.687 states/eV per atom

# 3
MnTlSb2Cl8 | GGA-PBE | optimized geometry

a = 6.896 Å, b = 7.445 Å, c = 8.959 Å
α = 66.35°, β = 67.36°, γ = 62.41°
Positions (direct):
Mn1 0.000 0.000 0.000
Tl1 0.500 0.500 0.500
Sb1 0.330 0.237 0.102
Sb2 0.670 0.763 0.898
Cl1 0.841 0.685 0.632
Cl2 0.780 0.361 0.080
Cl3 0.159 0.315 0.368
Cl4 0.220 0.639 0.920
Cl5 0.696 0.878 0.216
Cl6 0.304 0.122 0.784
Cl7 0.210 0.878 0.216
Cl8 0.790 0.122 0.784

Formation energy without anion corrections = -9.46 eV per formula unit
V = 30.17 Å³/atom
DOS(E_F) = 0.275 states/eV per atom

# 4
YThZnRu | GGA-PBE | optimized geometry

a = 5.029 Å, b = 5.029 Å, c = 5.029 Å
α = 60.00°, β = 60.00°, γ = 60.00°
Positions (direct):
Y1 0.750 0.750 0.750
Ru1 0.500 0.500 0.500
Zn1 0.000 0.000 0.000
Th1 0.250 0.250 0.250

Uncorrected energy = -6.427 eV per atom
V = 22.48 Å³/atom
DOS(E_F) = 0.653 states/eV per atom